No. 1
Computed, not measured: a relaxed BeSi2Sb crystal at the GGA-PBE level of DFT.

Geometry as POSCAR:
```
BeSi2Sb
1.0
2.8921 0.0000 0.0000
0.0000 2.8921 0.0000
0.0000 0.0000 8.1642
Be Si Sb
1 2 1
Direct
0.0000 0.0000 0.0000
0.5000 0.5000 0.1737
0.5000 0.5000 0.8263
0.0000 0.0000 0.5000
```

Computed properties:
Formation energy without anion corrections   0.5485 eV/atom
Space group   P4/mmm, No. 123
Calculated total energy   -16.5 eV for the cell shown
Crystal system   tetragonal
D(E_F)   0.399 states/eV/atom


No. 2
Computed, not measured: a relaxed BeSi2Sb crystal at the GGA-PBE level of DFT.

Geometry as POSCAR:
```
BeSi2Sb
1.0
2.9815 0.0000 0.0000
0.0000 3.3856 0.0000
0.0000 0.0000 6.7732
Be Si Sb
1 2 1
Direct
0.0000 0.0000 0.0000
0.0000 0.0000 0.3453
0.5000 0.5000 0.1550
0.0000 0.5000 0.6962
```

Computed properties:
Formation energy without anion corrections   0.4439 eV/atom
Space group   Pmm2, No. 25
Calculated total energy   -16.9 eV for the cell shown
Crystal system   orthorhombic
D(E_F)   0.384 states/eV/atom


No. 3
Computed, not measured: a relaxed BeSi2Sb crystal at the GGA-PBE level of DFT.

Geometry as POSCAR:
```
BeSi2Sb
1.0
2.6244 -3.6895 0.0000
2.6244 3.6895 0.0000
0.0000 0.0000 3.6228
Be Si Sb
1 2 1
Direct
0.0000 0.0000 0.0000
0.0000 0.5000 0.5000
0.5000 0.0000 0.5000
0.5000 0.5000 0.0000
```

Computed properties:
Formation energy without anion corrections   0.7037 eV/atom
Space group   Cmmm, No. 65
Calculated total energy   -15.9 eV for the cell shown
Crystal system   orthorhombic
D(E_F)   0.253 states/eV/atom